Entry 1:
Below is Pr3Cd2InCu2Pd after structural relaxation, with properties calculated at the PBE level.

Properties
- Crystal system: orthorhombic
- Symmetry: Amm2
- Raw total energy: -3.91 eV per atom

Cell lengths 4.0438, 7.7659, 7.7659 Å; angles 120.42, 90.00, 90.00 degrees
Closest atoms and distances in Å follow each position.
Sites, in units of the cell vectors:
Pr1 0.0000 0.0000 0.0000  4 Cu 3.10, 1 Pd 3.17, 2 In 3.32, 4 Cd 3.42
Pr2 0.0000 0.1852 0.5951  4 Cu 3.09-3.11, 1 Pd 3.16, 4 Cd 3.29-3.42, 2 In 3.44
Pr3 0.0000 0.5951 0.1852  4 Cu 3.09-3.11, 1 Pd 3.16, 4 Cd 3.29-3.42, 2 In 3.44
Cd1 0.5000 0.5938 0.8502  2 Pd 2.85, 2 Cu 2.93-2.95
Cd2 0.5000 0.8502 0.5938  2 Pd 2.85, 2 Cu 2.93-2.95
In1 0.5000 0.3412 0.3412  2 Pd 2.78, 2 Cu 2.92
Cu1 0.5000 0.2611 0.9306  1 In 2.92, 2 Cd 2.93-2.95, 6 Pr 3.09-3.11
Cu2 0.5000 0.9306 0.2611  1 In 2.92, 2 Cd 2.93-2.95, 6 Pr 3.09-3.11
Pd1 0.0000 0.5886 0.5886  2 In 2.78, 4 Cd 2.85

***

Entry 2:
Below is CdInCuRe after structural relaxation, with properties calculated at the PBE level.

Properties
- Crystal system: cubic
- Symmetry: F-43m
- Raw total energy: -4.28 eV per atom
- Distance to the lowest polymorph of the same formula: 0.000 eV per atom

Cell lengths 4.6021, 4.6021, 4.6021 Å; angles 60.00, 60.00, 60.00 degrees
Closest atoms and distances in Å follow each position.
Sites, in units of the cell vectors:
Cd1 0.0000 0.0000 0.0000  4 Cu 2.82, 4 Re 2.82
In1 0.5000 0.5000 0.5000  4 Cu 2.82, 4 Re 2.82
Cu1 0.7500 0.7500 0.7500  4 In 2.82, 4 Cd 2.82
Re1 0.2500 0.2500 0.2500  4 Cd 2.82, 4 In 2.82

***

Entry 3:
Below is CdInCuW after structural relaxation, with properties calculated at the PBE level.

Properties
- Crystal system: cubic
- Symmetry: F-43m
- Raw total energy: -4.33 eV per atom
- Distance to the lowest polymorph of the same formula: 0.000 eV per atom

Cell lengths 4.6734, 4.6734, 4.6734 Å; angles 60.00, 60.00, 60.00 degrees
Closest atoms and distances in Å follow each position.
Sites, in units of the cell vectors:
Cd1 0.0000 0.0000 0.0000  4 Cu 2.86, 4 W 2.86
In1 0.5000 0.5000 0.5000  4 Cu 2.86, 4 W 2.86
Cu1 0.7500 0.7500 0.7500  4 Cd 2.86, 4 In 2.86
W1 0.2500 0.2500 0.2500  4 Cd 2.86, 4 In 2.86